Entry 1:
# K2ZrHg, relaxed, DFT GGA-PBE
# energy of formation	497	meV per atom
data_K2ZrHg
_chemical_formula_sum 'K4 Zr2 Hg2'
_space_group_name_H-M_alt 'C m m m'
_space_group_IT_number 65
_space_group_name_Hall '-C 2 2'
_cell_length_a 3.6339
_cell_length_b 5.6133
_cell_length_c 12.8059
_cell_angle_alpha 90.00
_cell_angle_beta 90.00
_cell_angle_gamma 90.00
loop_
_atom_site_label
_atom_site_type_symbol
_atom_site_fract_x
_atom_site_fract_y
_atom_site_fract_z
_atom_site_occupancy
K1 K 0.0000 0.0000 0.2375 1
Zr1 Zr 0.0000 0.5000 0.5000 1
Hg1 Hg 0.0000 0.5000 0.0000 1

Entry 2:
# K2ZrHg, relaxed, DFT GGA-PBE
# energy of formation	278	meV per atom
data_K2ZrHg
_chemical_formula_sum 'K2 Zr1 Hg1'
_space_group_name_H-M_alt 'P 4 m m'
_space_group_IT_number 99
_space_group_name_Hall 'P 4 -2'
_cell_length_a 3.7332
_cell_length_b 3.7332
_cell_length_c 11.1265
_cell_angle_alpha 90.00
_cell_angle_beta 90.00
_cell_angle_gamma 90.00
loop_
_atom_site_label
_atom_site_type_symbol
_atom_site_fract_x
_atom_site_fract_y
_atom_site_fract_z
_atom_site_occupancy
K1 K 0.0000 0.0000 0.0000 1
K2 K 0.5000 0.5000 0.3772 1
Zr1 Zr 0.0000 0.0000 0.6532 1
Hg1 Hg 0.5000 0.5000 0.7684 1

Entry 3:
# K3ZrHg, relaxed, DFT GGA-PBE
# energy above the most stable polymorph in this dataset	101	meV per atom
# energy of formation	953	meV per atom
data_K3ZrHg
_chemical_formula_sum 'K3 Zr1 Hg1'
_space_group_name_H-M_alt 'P m -3 m'
_space_group_IT_number 221
_space_group_name_Hall '-P 4 2 3'
_cell_length_a 6.8929
_cell_length_b 6.8929
_cell_length_c 6.8929
_cell_angle_alpha 90.00
_cell_angle_beta 90.00
_cell_angle_gamma 90.00
loop_
_atom_site_label
_atom_site_type_symbol
_atom_site_fract_x
_atom_site_fract_y
_atom_site_fract_z
_atom_site_occupancy
K1 K 0.0000 0.0000 0.5000 1
Zr1 Zr 0.0000 0.0000 0.0000 1
Hg1 Hg 0.5000 0.5000 0.5000 1

Entry 4:
# KZr2Hg2, relaxed, DFT GGA-PBE
# energy above the most stable polymorph in this dataset	0	meV per atom
# energy of formation	82	meV per atom
data_KZr2Hg2
_chemical_formula_sum 'K2 Zr4 Hg4'
_space_group_name_H-M_alt 'P 4/m b m'
_space_group_IT_number 127
_space_group_name_Hall '-P 4 2ab'
_cell_length_a 9.0619
_cell_length_b 9.0619
_cell_length_c 3.0794
_cell_angle_alpha 90.00
_cell_angle_beta 90.00
_cell_angle_gamma 90.00
loop_
_atom_site_label
_atom_site_type_symbol
_atom_site_fract_x
_atom_site_fract_y
_atom_site_fract_z
_atom_site_occupancy
K1 K 0.0000 0.0000 0.0000 1
Zr1 Zr 0.1187 0.3813 0.0000 1
Hg1 Hg 0.1758 0.6758 0.5000 1

Entry 5:
# K2ZrHg, relaxed, DFT GGA-PBE
# energy of formation	516	meV per atom
data_K2ZrHg
_chemical_formula_sum 'K2 Zr1 Hg1'
_space_group_name_H-M_alt 'P 4/m m m'
_space_group_IT_number 123
_space_group_name_Hall '-P 4 2'
_cell_length_a 3.3314
_cell_length_b 3.3314
_cell_length_c 11.9904
_cell_angle_alpha 90.00
_cell_angle_beta 90.00
_cell_angle_gamma 90.00
loop_
_atom_site_label
_atom_site_type_symbol
_atom_site_fract_x
_atom_site_fract_y
_atom_site_fract_z
_atom_site_occupancy
K1 K 0.0000 0.0000 0.2337 1
Zr1 Zr 0.5000 0.5000 0.5000 1
Hg1 Hg 0.5000 0.5000 0.0000 1

Entry 6:
# K2ZrHg, relaxed, DFT GGA-PBE
# energy of formation	585	meV per atom
data_K2ZrHg
_chemical_formula_sum 'K2 Zr1 Hg1'
_space_group_name_H-M_alt 'P 4/m m m'
_space_group_IT_number 123
_space_group_name_Hall '-P 4 2'
_cell_length_a 4.4886
_cell_length_b 4.4886
_cell_length_c 6.2248
_cell_angle_alpha 90.00
_cell_angle_beta 90.00
_cell_angle_gamma 90.00
loop_
_atom_site_label
_atom_site_type_symbol
_atom_site_fract_x
_atom_site_fract_y
_atom_site_fract_z
_atom_site_occupancy
K1 K 0.0000 0.5000 0.0000 1
Zr1 Zr 0.0000 0.0000 0.5000 1
Hg1 Hg 0.5000 0.5000 0.5000 1